Record 1
This record from Alexandria describes an optimized crystal structure of Cu3SnS. The functional is PBE-GGA.

**Polymorph energy (0 for the lowest one)**: 0.0 meV/atom
**DOS at the Fermi energy**: 2.57 states/eV/f.u.
**E_form (uncorrected)**: 0.285 eV per atom
**Crystal system**: cubic
**Space group**: Pm-3m, No. 221

Cell: 4.478 4.478 4.478 Å, 90.00 90.00 90.00°
Element x y z (fractional)
Cu: 0.000 0.500 0.000
Cu: 0.000 0.000 0.500
Cu: 0.500 0.000 0.000
Sn: 0.500 0.500 0.500
S: 0.000 0.000 0.000

Record 2
This record from Alexandria describes an optimized crystal structure of K17MgCd11. The functional is PBE-GGA.

**ΔE_f**: 0.00 eV/atom
**DOS at the Fermi energy**: 19.29 states/eV/f.u.
**Crystal system**: monoclinic
**Space group**: Cm, No. 8

Cell: 11.642 11.642 11.728 Å, 110.06 110.06 109.42°
Element x y z (fractional)
K: 0.425 0.425 0.740
K: 0.999 0.999 0.315
K: 0.268 0.683 0.683
K: 0.991 0.991 0.991
K: 0.698 0.698 0.282
K: 0.006 0.592 0.289
K: 0.296 0.590 0.005
K: 0.005 0.285 0.596
K: 0.683 0.268 0.683
K: 0.323 0.992 0.995
K: 0.756 0.428 0.429
K: 0.285 0.005 0.596
K: 0.590 0.296 0.005
K: 0.592 0.006 0.289
K: 0.428 0.756 0.429
K: 0.645 0.645 0.642
K: 0.992 0.323 0.995
Mg: 0.347 0.347 0.187
Cd: 0.994 0.828 0.659
Cd: 0.345 0.175 0.343
Cd: 0.656 0.826 0.992
Cd: 0.175 0.345 0.343
Cd: 0.177 0.840 0.175
Cd: 0.180 0.180 0.852
Cd: 0.826 0.656 0.992
Cd: 0.828 0.994 0.659
Cd: 0.655 0.994 0.829
Cd: 0.840 0.177 0.175
Cd: 0.994 0.655 0.829

Record 3
This record from Alexandria describes an optimized crystal structure of Tm5MgSb2. The functional is PBE-GGA.

**DOS at the Fermi energy**: 6.87 states/eV/f.u.
**E_form (uncorrected)**: -0.361 eV per atom
**Crystal system**: orthorhombic
**Space group**: Cmcm, No. 63

Cell: 4.512 6.202 17.175 Å, 90.00 90.00 111.33°
Element x y z (fractional)
Mg: 0.227 0.455 0.250
Mg: 0.773 0.545 0.750
Sb: 0.746 0.492 0.365
Sb: 0.254 0.508 0.865
Sb: 0.746 0.492 0.135
Sb: 0.254 0.508 0.635
Tm: 0.355 0.710 0.037
Tm: 0.355 0.710 0.463
Tm: 0.952 0.904 0.602
Tm: 0.645 0.290 0.963
Tm: 0.048 0.096 0.102
Tm: 0.645 0.290 0.537
Tm: 0.952 0.904 0.898
Tm: 0.479 0.958 0.750
Tm: 0.048 0.096 0.398
Tm: 0.521 0.042 0.250

Record 4
This record from Alexandria describes an optimized crystal structure of Br3Cl. The functional is PBE-GGA.

**DOS at the Fermi energy**: 1.39 states/eV/f.u.
**E_form (uncorrected)**: 0.062 eV per atom
**Crystal system**: orthorhombic
**Space group**: Pmm2, No. 25

Cell: 4.623 4.778 7.956 Å, 90.00 90.00 90.00°
Element x y z (fractional)
Br: 0.500 0.000 0.617
Br: 0.500 0.500 0.712
Br: 0.000 0.000 0.129
Cl: 0.000 0.500 0.208

Record 5
This record from Alexandria describes an optimized crystal structure of TbPmYHo. The functional is PBE-GGA.

**ΔE_f**: 0.13 eV/atom
**Polymorph energy (0 for the lowest one)**: 108.6 meV/atom
**DOS at the Fermi energy**: 8.75 states/eV/f.u.
**Crystal system**: cubic
**Space group**: F-43m, No. 216

Cell: 5.703 5.703 5.703 Å, 60.00 60.00 60.00°
Element x y z (fractional)
Tb: 0.250 0.250 0.250
Y: 0.000 0.000 0.000
Pm: 0.750 0.750 0.750
Ho: 0.500 0.500 0.500

Record 6
This record from Alexandria describes an optimized crystal structure of Sm6Sb2Ru. The functional is PBE-GGA.

**DOS at the Fermi energy**: 10.64 states/eV/f.u.
**E_form (uncorrected)**: -0.561 eV per atom
**Crystal system**: monoclinic
**Space group**: P2_1/c, No. 14

Cell: 6.416 8.202 10.358 Å, 90.00 91.62 90.00°
Element x y z (fractional)
Sm: 0.381 0.524 0.748
Sm: 0.119 0.024 0.752
Sm: 0.141 0.319 0.457
Sm: 0.641 0.181 0.957
Sm: 0.619 0.476 0.252
Sm: 0.136 0.323 0.047
Sm: 0.859 0.681 0.543
Sm: 0.364 0.823 0.453
Sm: 0.864 0.677 0.953
Sm: 0.359 0.819 0.043
Sm: 0.636 0.177 0.547
Sm: 0.881 0.976 0.248
Sb: 0.089 0.614 0.252
Sb: 0.589 0.886 0.752
Sb: 0.411 0.114 0.248
Sb: 0.911 0.386 0.748
Ru: 0.000 0.000 0.500
Ru: 0.500 0.500 0.000

Record 7
This record from Alexandria describes an optimized crystal structure of NaTb2Se. The functional is PBE-GGA.

**DOS at the Fermi energy**: 3.88 states/eV/f.u.
**E_form (uncorrected)**: -0.593 eV per atom
**Crystal system**: trigonal
**Space group**: R-3m, No. 166

Cell: 3.812 3.812 10.834 Å, 79.87 79.87 60.00°
Element x y z (fractional)
Se: 0.500 0.500 0.500
Tb: 0.889 0.889 0.334
Tb: 0.111 0.111 0.666
Na: 0.000 0.000 0.000

Record 8
This record from Alexandria describes an optimized crystal structure of Sc2InW. The functional is PBE-GGA.

**ΔE_f**: 0.22 eV/atom
**DOS at the Fermi energy**: 4.68 states/eV/f.u.
**Crystal system**: cubic
**Space group**: F-43m, No. 216

Cell: 4.832 4.832 4.832 Å, 60.00 60.00 60.00°
Site moments in Bohr magnetons follow the coordinates.
Element x y z (fractional)
Sc: 0.250 0.250 0.250  -0.02
Sc: 0.000 0.000 0.000  0.23
W: 0.750 0.750 0.750  0.62
In: 0.500 0.500 0.500  -0.02

Record 9
This record from Alexandria describes an optimized crystal structure of CaCuMo. The functional is PBE-GGA.

**ΔE_f**: 0.76 eV/atom
**Polymorph energy (0 for the lowest one)**: 227.4 meV/atom
**DOS at the Fermi energy**: 4.05 states/eV/f.u.
**Crystal system**: hexagonal
**Space group**: P-6m2, No. 187

Cell: 4.765 4.765 2.818 Å, 90.00 90.00 120.00°
Element x y z (fractional)
Mo: 0.333 0.667 0.501
Ca: 0.000 0.000 0.000
Cu: 0.667 0.333 0.499

Record 10
This record from Alexandria describes an optimized crystal structure of MgMnSe2. The functional is PBE-GGA.

**E_form (uncorrected)**: -0.765 eV per atom
**Crystal system**: orthorhombic
**Space group**: Pnma, No. 62

Cell: 3.920 6.835 14.859 Å, 90.00 90.00 90.00°
Site moments in Bohr magnetons follow the coordinates.
Element x y z (fractional)
Se: 0.250 0.311 0.674  0.06
Se: 0.750 0.300 0.931  0.07
Se: 0.750 0.689 0.326  0.06
Se: 0.250 0.811 0.826  0.06
Se: 0.750 0.189 0.174  0.06
Se: 0.750 0.800 0.569  0.07
Se: 0.250 0.200 0.431  0.07
Se: 0.250 0.700 0.069  0.07
Mg: 0.750 0.187 0.571  0.02
Mg: 0.250 0.313 0.071  0.02
Mg: 0.750 0.687 0.929  0.02
Mg: 0.250 0.813 0.429  0.02
Mn: 0.750 0.319 0.332  4.28
Mn: 0.250 0.681 0.668  4.28
Mn: 0.250 0.181 0.832  4.28
Mn: 0.750 0.819 0.168  4.28

Record 11
This record from Alexandria describes an optimized crystal structure of TlSiAg. The functional is PBE-GGA.

**DOS at the Fermi energy**: 1.34 states/eV/f.u.
**E_form (uncorrected)**: 0.334 eV per atom
**Crystal system**: orthorhombic
**Space group**: Pnma, No. 62

Cell: 7.681 4.459 7.545 Å, 90.00 90.00 90.00°
Element x y z (fractional)
Si: 0.729 0.250 0.107
Si: 0.229 0.250 0.393
Si: 0.771 0.750 0.607
Si: 0.271 0.750 0.893
Tl: 0.509 0.750 0.327
Tl: 0.009 0.750 0.173
Tl: 0.491 0.250 0.673
Tl: 0.991 0.250 0.827
Ag: 0.873 0.250 0.430
Ag: 0.373 0.250 0.070
Ag: 0.627 0.750 0.930
Ag: 0.127 0.750 0.570

Record 12
This record from Alexandria describes an optimized crystal structure of Ac2TeClO6. The functional is PBE-GGA.

**DOS at the Fermi energy**: 7.22 states/eV/f.u.
**E_form (uncorrected)**: -2.114 eV per atom
**Crystal system**: trigonal
**Space group**: R3, No. 146

Cell: 6.979 6.979 6.979 Å, 51.55 51.55 51.55°
Site moments in Bohr magnetons follow the coordinates.
Element x y z (fractional)
Te: 0.011 0.011 0.011  -0.02
Ac: 0.200 0.200 0.200  -0.01
Ac: 0.671 0.671 0.671  0.00
O: 0.651 0.043 0.171  0.08
O: 0.899 0.364 0.979  0.20
O: 0.043 0.171 0.651  0.08
O: 0.364 0.979 0.899  0.20
O: 0.979 0.899 0.364  0.20
O: 0.171 0.651 0.043  0.08
Cl: 0.511 0.511 0.511  0.06

Record 13
This record from Alexandria describes an optimized crystal structure of La5ErHg4. The functional is PBE-GGA.

**ΔE_f**: -0.38 eV/atom
**DOS at the Fermi energy**: 12.99 states/eV/f.u.
**Crystal system**: tetragonal
**Space group**: P4/mmm, No. 123

Cell: 3.884 3.884 20.444 Å, 90.00 90.00 90.00°
Site moments in Bohr magnetons follow the coordinates.
Element x y z (fractional)
Er: 0.000 0.000 0.000  0.01
La: 0.500 0.500 0.885  0.02
La: 0.500 0.500 0.500  0.17
La: 0.500 0.500 0.308  0.17
La: 0.500 0.500 0.115  0.02
La: 0.500 0.500 0.692  0.17
Hg: 0.000 0.000 0.596  0.01
Hg: 0.000 0.000 0.792  0.01
Hg: 0.000 0.000 0.208  0.01
Hg: 0.000 0.000 0.404  0.01

Record 14
This record from Alexandria describes an optimized crystal structure of NdSc2Cl. The functional is PBE-GGA.

**DOS at the Fermi energy**: 7.22 states/eV/f.u.
**E_form (uncorrected)**: -0.314 eV per atom
**Crystal system**: trigonal
**Space group**: R-3m, No. 166

Cell: 3.320 3.320 10.562 Å, 80.96 80.96 60.00°
Element x y z (fractional)
Cl: 0.500 0.500 0.500
Sc: 0.898 0.898 0.307
Sc: 0.102 0.102 0.693
Nd: 0.000 0.000 0.000

Record 15
This record from Alexandria describes an optimized crystal structure of LaErPtRh. The functional is PBE-GGA.

**ΔE_f**: -0.94 eV/atom
**DOS at the Fermi energy**: 2.43 states/eV/f.u.
**Crystal system**: cubic
**Space group**: F-43m, No. 216

Cell: 5.001 5.001 5.001 Å, 60.00 60.00 60.00°
Element x y z (fractional)
Er: 0.000 0.000 0.000
La: 0.500 0.500 0.500
Pt: 0.750 0.750 0.750
Rh: 0.250 0.250 0.250

Record 16
This record from Alexandria describes an optimized crystal structure of Pr3YHo6Tm2. The functional is PBE-GGA.

**ΔE_f**: 0.02 eV/atom
**DOS at the Fermi energy**: 16.66 states/eV/f.u.
**Crystal system**: monoclinic
**Space group**: C2/m, No. 12

Cell: 6.192 6.192 11.807 Å, 95.01 95.01 119.97°
Element x y z (fractional)
Ho: 0.918 0.584 0.755
Ho: 0.584 0.918 0.755
Ho: 0.082 0.416 0.245
Ho: 0.253 0.253 0.755
Ho: 0.747 0.747 0.245
Ho: 0.416 0.082 0.245
Pr: 0.833 0.167 0.500
Pr: 0.500 0.500 0.500
Pr: 0.167 0.833 0.500
Y: 0.000 0.000 0.000
Tm: 0.333 0.667 0.000
Tm: 0.667 0.333 0.000

Record 17
This record from Alexandria describes an optimized crystal structure of BiPtO3. The functional is PBE-GGA.

**DOS at the Fermi energy**: 0.78 states/eV/f.u.
**E_form (uncorrected)**: -0.591 eV per atom
**Crystal system**: trigonal
**Space group**: R3m, No. 160

Cell: 4.205 4.205 4.205 Å, 88.58 88.58 88.58°
Element x y z (fractional)
Pt: 0.561 0.561 0.561
O: 0.606 0.606 0.064
O: 0.606 0.064 0.606
O: 0.064 0.606 0.606
Bi: 0.971 0.971 0.971

Record 18
This record from Alexandria describes an optimized crystal structure of Sr2TcF. The functional is PBE-GGA.

**Polymorph energy (0 for the lowest one)**: 439.2 meV/atom
**DOS at the Fermi energy**: 0.56 states/eV/f.u.
**E_form (uncorrected)**: -0.143 eV per atom
**Crystal system**: cubic
**Space group**: Fm-3m, No. 225

Cell: 5.278 5.278 5.278 Å, 60.00 60.00 60.00°
Site moments in Bohr magnetons follow the coordinates.
Element x y z (fractional)
Sr: 0.750 0.750 0.750  -0.02
Sr: 0.250 0.250 0.250  -0.02
F: 0.000 0.000 0.000  0.03
Tc: 0.500 0.500 0.500  1.66

Record 19
This record from Alexandria describes an optimized crystal structure of LaH4Pd2. The functional is PBE-GGA.

**Polymorph energy (0 for the lowest one)**: 0.0 meV/atom
**DOS at the Fermi energy**: 0.97 states/eV/f.u.
**Crystal system**: orthorhombic
**Space group**: Cmcm, No. 63

Cell: 3.272 5.070 9.476 Å, 90.00 90.00 108.83°
Element x y z (fractional)
H: 0.893 0.786 0.750
H: 0.500 0.000 0.000
H: 0.107 0.214 0.250
H: 0.256 0.512 0.597
H: 0.744 0.488 0.403
H: 0.744 0.488 0.097
H: 0.500 0.000 0.500
H: 0.256 0.512 0.903
Pd: 0.865 0.730 0.945
Pd: 0.135 0.270 0.445
Pd: 0.865 0.730 0.555
Pd: 0.135 0.270 0.055
La: 0.411 0.822 0.250
La: 0.589 0.178 0.750

Record 20
This record from Alexandria describes an optimized crystal structure of Sm5Ag2Ge2. The functional is PBE-GGA.

**ΔE_f**: -0.50 eV/atom
**DOS at the Fermi energy**: 7.78 states/eV/f.u.
**Crystal system**: orthorhombic
**Space group**: Cmce, No. 64

Cell: 7.783 7.761 8.866 Å, 90.00 63.96 90.00°
Element x y z (fractional)
Ag: 0.712 0.500 0.576
Ag: 0.788 0.000 0.424
Ag: 0.288 0.500 0.424
Ag: 0.212 0.000 0.576
Sm: 0.000 0.000 0.000
Sm: 0.500 0.500 0.000
Sm: 0.046 0.673 0.264
Sm: 0.546 0.827 0.264
Sm: 0.190 0.173 0.264
Sm: 0.954 0.327 0.736
Sm: 0.690 0.327 0.264
Sm: 0.310 0.673 0.736
Sm: 0.810 0.827 0.736
Sm: 0.454 0.173 0.736
Ge: 0.875 0.626 0.000
Ge: 0.625 0.126 0.000
Ge: 0.375 0.874 0.000
Ge: 0.125 0.374 0.000

Record 21
This record from Alexandria describes an optimized crystal structure of LaCdIn. The functional is PBE-GGA.

**ΔE_f**: -0.36 eV/atom
**DOS at the Fermi energy**: 2.80 states/eV/f.u.
**Crystal system**: triclinic
**Space group**: P-1, No. 2

Cell: 4.408 4.766 9.230 Å, 74.55 103.77 89.98°
Element x y z (fractional)
La: 0.152 0.490 0.568
La: 0.424 0.699 0.110
In: 0.586 0.079 0.435
In: 0.990 0.111 0.243
Cd: 0.745 0.886 0.759
Cd: 0.829 0.304 0.918